1.
Computed, not measured: crystalline Mg4SbCl at its relaxed geometry at the PBEsol level of DFT.

Structure (POSCAR):
```
Mg4SbCl
1.0
0.0000 4.1219 4.1219
4.1219 0.0000 4.1219
4.1219 4.1219 0.0000
Mg Sb Cl
4 1 1
direct
0.3764 0.3764 0.3764
0.3764 0.3764 0.8709
0.3764 0.8709 0.3764
0.8709 0.3764 0.3764
0.7500 0.7500 0.7500
0.0000 0.0000 0.0000
```

Summary:
DOS at the Fermi energy ... 1.99 states/eV/cell
Formation energy from raw total energies ... -0.1342 eV/atom
Space group ... F-43m

2.
Computed, not measured: crystalline SiGePS2 at its relaxed geometry at the PBEsol level of DFT.

Structure (POSCAR):
```
SiGePS2
1.0
4.6032 0.0000 0.0000
0.0000 4.6032 0.0000
0.0000 0.0000 4.6306
Si Ge P S
1 1 1 2
direct
0.0000 0.0000 0.0000
0.5000 0.5000 0.5000
0.5000 0.5000 0.0000
0.0000 0.5000 0.5000
0.5000 0.0000 0.5000
```

Summary:
DOS at the Fermi energy ... 2.89 states/eV/cell
Formation energy from raw total energies ... 0.7349 eV/atom
Space group ... P4/mmm

Which of these has the highest DOS at the Fermi energy?
SiGePS2